No. 1
Here is a relaxed Ca2TiTc crystal from Alexandria. Energies are from PBE.

Cell and atoms, written as POSCAR:
```
Ca2TiTc
1.0
-7.319 0.538 8.170
-0.486 -10.967 0.287
-2.223 -5.249 5.735
Ca Tc Ti
4 2 2
direct
0.787 0.125 0.250 Ca
0.375 0.213 0.750 Ca
0.963 0.625 0.250 Ca
0.875 0.037 0.750 Ca
0.000 0.000 0.000 Tc
0.750 0.250 0.500 Tc
0.500 0.500 0.000 Ti
0.250 0.750 0.500 Ti
```

Summary:
As for the formation energy: 63.7 kJ/mol of atoms. The density of states at the Fermi level is 7.81 states/eV per cell. Its energy above the most stable polymorph in this dataset is 0.000 eV/f.u. As for the volume: 136.06 Å³/f.u.

---

No. 2
Here is a relaxed CaTi3Tc crystal from Alexandria. Energies are from PBE.

Cell and atoms, written as POSCAR:
```
CaTi3Tc
1.0
-3.719 1.855 -1.632
0.851 -1.807 -3.993
-2.319 -3.637 1.152
Ti Ca Tc
3 1 1
direct
0.500 0.000 0.000 Ti
0.000 0.000 0.500 Ti
0.000 0.500 0.000 Ti
0.000 0.000 0.000 Ca
0.500 0.500 0.500 Tc
```

Summary:
As for the formation energy: 180.7 kJ/mol of atoms. The density of states at the Fermi level is 6.14 states/eV per cell. Its energy above the most stable polymorph in this dataset is 7.719 eV/f.u. As for the volume: 88.98 Å³/f.u.

---

No. 3
Here is a relaxed Ca2TiTc crystal from Alexandria. Energies are from PBE.

Cell and atoms, written as POSCAR:
```
Ca2TiTc
1.0
0.000 3.567 3.567
3.567 0.000 3.567
3.567 3.567 0.000
Ca Tc Ti
2 1 1
direct
0.750 0.750 0.750 Ca
0.250 0.250 0.250 Ca
0.500 0.500 0.500 Tc
0.000 0.000 0.000 Ti
```

Summary:
As for the formation energy: 84.2 kJ/mol of atoms. The density of states at the Fermi level is 4.46 states/eV per cell. Its energy above the most stable polymorph in this dataset is 0.852 eV/f.u. As for the volume: 90.77 Å³/f.u.

---

No. 4
Here is a relaxed Ca2TiTcW crystal from Alexandria. Energies are from PBE.

Cell and atoms, written as POSCAR:
```
Ca2TiTcW
1.0
-1.140 5.075 -0.884
0.529 -0.656 -4.450
-5.115 -1.223 -0.427
W Tc Ti Ca
1 1 1 2
direct
0.000 0.500 0.000 W
0.500 0.500 0.500 Tc
0.000 0.000 0.000 Ti
0.000 0.000 0.500 Ca
0.500 0.000 0.000 Ca
```

Summary:
As for the formation energy: 181.3 kJ/mol of atoms. The density of states at the Fermi level is 11.88 states/eV per cell. As for the volume: 126.08 Å³/f.u.